VASP calculation (PBE) on a relaxed Y2HfCdH crystal.

## Properties
Density of states at the Fermi level ... 7.90 states/eV per cell
Raw total energy ... -5.5414 eV/atom

```
Y2HfCdH
1.0
4.7946 0.0000 0.0000
0.0000 4.7946 0.0000
0.0000 0.0000 4.5703
Y Hf Cd H
2 1 1 1
Cartesian
0.0000 2.3973 0.0000
2.3973 0.0000 0.0000
0.0000 0.0000 2.2851
2.3973 2.3973 2.2851
0.0000 0.0000 0.0000
```